Entry 1
This record from the Alexandria database describes a relaxed structure of RbLiTe2. The functional is GGA-PBE.

Size of the total moment, μB per cell: 0.00

Cell and atoms, written as POSCAR:
```
RbLiTe2
1.0
5.374 0.000 0.000
0.000 5.538 -0.389
0.000 -1.687 5.289
Rb Li Te
1 1 2
direct
0.000 0.945 0.055
0.500 0.445 0.555
0.500 0.945 0.555
0.500 0.445 0.055
```

=====

Entry 2
This record from the Alexandria database describes a relaxed structure of RbLiTe2. The functional is GGA-PBE.

Size of the total moment, μB per cell: 0.00

Cell and atoms, written as POSCAR:
```
RbLiTe2
1.0
-6.225 9.528 7.228
2.905 -10.663 -7.722
0.463 -3.585 5.124
Te Rb Li
4 2 2
direct
0.179 0.821 0.250
0.821 0.179 0.750
0.984 0.016 0.250
0.016 0.984 0.750
0.318 0.682 0.250
0.682 0.318 0.750
0.082 0.918 0.250
0.918 0.082 0.750
```

=====

Entry 3
This record from the Alexandria database describes a relaxed structure of RbLiTe2. The functional is GGA-PBE.

Size of the total moment, μB per cell: 0.00

Cell and atoms, written as POSCAR:
```
RbLiTe2
1.0
8.978 0.000 0.000
0.000 8.978 0.000
4.489 4.489 3.230
Te Rb Li
4 2 2
direct
0.750 0.250 0.000
0.250 0.750 0.000
0.250 0.250 0.000
0.750 0.750 0.000
0.750 0.250 0.500
0.250 0.750 0.500
0.750 0.750 0.500
0.250 0.250 0.500
```

=====

The most stable structure shown above is entry 1; the least stable is entry 3.